No. 1
PBE-GGA AgSb2TeAu, relaxed; relative energy among the computed polymorphs = 126.1 meV/atom; E_form (uncorrected) = 0.80 eV/atom
1.0
-0.1170 4.5969 -2.7318
-4.7162 1.1991 2.2198
2.5334 2.4701 4.0481
Sb Te Au Ag
2 1 1 1
direct
0.0000 0.5000 0.0000
0.5000 0.0000 0.0000
0.0000 0.0000 0.5000
0.5000 0.5000 0.5000
0.0000 0.0000 0.0000

No. 2
PBE-GGA Tb2Tm5Co4, relaxed; formation enthalpy at 0 K = 21 meV/atom
1.0
6.3869 0.0000 0.0000
3.1934 5.9201 -0.4642
3.1934 0.9997 6.8564
Tb Tm Co
2 5 4
direct
0.2810 0.8074 0.6305
0.7190 0.1926 0.3695
0.1876 0.2499 0.8901
0.8124 0.7501 0.1099
0.0000 0.5000 0.5000
0.6725 0.2499 0.8901
0.3275 0.7501 0.1099
0.3242 0.0545 0.2971
0.6758 0.9455 0.7029
0.7804 0.5973 0.8419
0.2196 0.4027 0.1581

No. 3
PBE-GGA AlZnPt, relaxed; formation enthalpy at 0 K = -637 meV/atom
1.0
4.6980 -0.0154 0.0000
2.3988 4.0395 0.0000
-3.5484 -2.0120 2.3307
Zn Al Pt
1 1 1
direct
0.6665 0.6665 0.0000
0.9959 0.9959 0.0000
0.3376 0.3376 0.0000

No. 4
PBE-GGA LaBeZn3, relaxed; relative energy among the computed polymorphs = 0.0 meV/atom; formation enthalpy at 0 K = -95 meV/atom
1.0
-2.3058 1.0198 -3.7661
-3.1021 -3.1324 1.0511
-2.3665 3.1125 2.2917
Be Zn La
1 3 1
direct
0.0000 0.0000 0.0000
0.0000 0.5000 0.0000
0.0000 0.0000 0.5000
0.5000 0.0000 0.0000
0.5000 0.5000 0.5000

No. 5
PBE-GGA HgPt3, relaxed; formation enthalpy at 0 K = 66 meV/atom
1.0
-5.4542 -0.8457 -0.8838
-2.5096 -4.3075 2.5284
2.7149 4.8793 0.2579
Hg Pt
1 3
direct
0.9945 0.0000 0.9945
0.0908 0.7544 0.3364
0.4993 0.5000 0.9993
0.5820 0.2456 0.3364

No. 6
PBE-GGA Rb3Ni2PbCl9, relaxed; E_form (uncorrected) = -1.20 eV/atom
1.0
7.2242 0.0000 0.0000
-3.6121 6.2563 0.0000
0.0000 0.0000 9.0540
Rb Ni Pb Cl
3 2 1 9
direct
0.3333 0.6667 0.6970
0.0000 0.0000 0.0000
0.6667 0.3333 0.3030
0.3333 0.6667 0.1561
0.6667 0.3333 0.8439
0.0000 0.0000 0.5000
0.8214 0.1786 0.6907
0.8214 0.6429 0.6907
0.3571 0.1786 0.6907
0.6429 0.8214 0.3093
0.1786 0.3571 0.3093
0.1786 0.8214 0.3093
0.5000 0.0000 0.0000
0.0000 0.5000 0.0000
0.5000 0.5000 0.0000